5
Lattice="5.630 0.000 0.000 0.000 5.630 0.000 0.000 0.000 5.630" Properties=species:S:1:pos:R:3 comment="La3PbBr, relaxed, DFT GGA-PBE" raw_formation_energy_ev_per_atom=-0.480 e_above_lowest_polymorph_mev_per_atom=203 m_tot_mub_per_fu=0.00 pbc="T T T"
Br 0.000 0.000 0.000
La 0.000 2.815 0.000
La 0.000 0.000 2.815
La 2.815 0.000 0.000
Pb 2.815 2.815 2.815